[1]
# Gd3AlNiS7 PBE-GGA relaxed
# E_tot: -5.911 eV per atom
# crystal system: hexagonal
# density: 5238 kg/m3
# magnetization: 0.17 μB per atom
data_Gd3AlNiS7
_cell_length_a 9.6164
_cell_length_b 9.6164
_cell_length_c 6.1905
_cell_angle_alpha 90.00
_cell_angle_beta 90.00
_cell_angle_gamma 120.00
_space_group_name_H-M_alt 'P 63'
_space_group_IT_number 173
loop_
_space_group_symop_operation_xyz
'x,y,z'
'x-y,x,z+1/2'
'-y,x-y,z'
'-x,-y,z+1/2'
'-x+y,-x,z'
'y,-x+y,z+1/2'
loop_
_atom_site_label
_atom_site_type_symbol
_atom_site_fract_x
_atom_site_fract_y
_atom_site_fract_z
Gd1 Gd 0.1549 0.3756 0.0000
Al1 Al 0.3333 0.6667 0.4261
Ni1 Ni 0.0000 0.0000 0.3271
S1 S 0.0896 0.5679 0.2735
S2 S 0.0984 0.2302 0.5906
S3 S 0.3333 0.6667 0.7876

***

[2]
# GdScAl4Ni2 PBE-GGA relaxed
# E_tot: -5.268 eV per atom
# crystal system: orthorhombic
# density: 5185 kg/m3
# magnetization: 0.00 μB per atom
data_GdScAl4Ni2
_cell_length_a 6.813
_cell_length_b 4.059
_cell_length_c 9.902
_cell_angle_alpha 90.00
_cell_angle_beta 90.00
_cell_angle_gamma 90.00
_space_group_name_H-M_alt 'A m m 2'
_space_group_IT_number 38
loop_
_space_group_symop_operation_xyz
'x,y,z'
'-x,-y,z'
'-x,y,z'
'x,-y,z'
'x,y+1/2,z+1/2'
'-x,-y+1/2,z+1/2'
'-x,y+1/2,z+1/2'
'x,-y+1/2,z+1/2'
loop_
_atom_site_label
_atom_site_type_symbol
_atom_site_fract_x
_atom_site_fract_y
_atom_site_fract_z
Gd1 Gd 0.000 0.000 0.000
Sc1 Sc 0.500 0.000 0.126
Al1 Al 0.204 0.000 0.713
Al2 Al 0.308 0.000 0.409
Ni1 Ni 0.000 0.000 0.279
Ni2 Ni 0.500 0.000 0.852

***

[3]
# GdScAlNi2 PBE-GGA relaxed
# E_tot: -5.716 eV per atom
# crystal system: orthorhombic
# density: 6489 kg/m3
# magnetization: 0.00 μB per atom
data_GdScAlNi2
_cell_length_a 4.144
_cell_length_b 5.294
_cell_length_c 8.085
_cell_angle_alpha 90.00
_cell_angle_beta 90.00
_cell_angle_gamma 90.00
_space_group_name_H-M_alt 'I m m 2'
_space_group_IT_number 44
loop_
_space_group_symop_operation_xyz
'x,y,z'
'-x,-y,z'
'-x,y,z'
'x,-y,z'
'x+1/2,y+1/2,z+1/2'
'-x+1/2,-y+1/2,z+1/2'
'-x+1/2,y+1/2,z+1/2'
'x+1/2,-y+1/2,z+1/2'
loop_
_atom_site_label
_atom_site_type_symbol
_atom_site_fract_x
_atom_site_fract_y
_atom_site_fract_z
Gd1 Gd 0.000 0.000 0.000
Sc1 Sc 0.000 0.000 0.594
Al1 Al 0.000 0.500 0.798
Ni1 Ni 0.000 0.267 0.297

***

[4]
# Gd3Al3SiNi2 PBE-GGA relaxed
# crystal system: hexagonal
# density: 6714 kg/m3
# energy above the lowest structure with this stoichiometry: 0.000 eV per atom
# magnetization: 0.00 μB per atom
data_Gd3Al3SiNi2
_cell_length_a 7.2640
_cell_length_b 7.2640
_cell_length_c 3.7789
_cell_angle_alpha 90.00
_cell_angle_beta 90.00
_cell_angle_gamma 120.00
_space_group_name_H-M_alt 'P -6 2 m'
_space_group_IT_number 189
_space_group_name_Hall 'P -6 -2'
loop_
_atom_site_label
_atom_site_type_symbol
_atom_site_fract_x
_atom_site_fract_y
_atom_site_fract_z
Gd1 Gd 0.0000 0.5942 0.0000
Al1 Al 0.0000 0.2559 0.5000
Si1 Si 0.0000 0.0000 0.0000
Ni1 Ni 0.3333 0.6667 0.5000

***

[5]
# Gd3Al3SiNi2 PBE-GGA relaxed
# crystal system: hexagonal
# density: 6760 kg/m3
# energy above the lowest structure with this stoichiometry: 0.377 eV per atom
# magnetization: 0.00 μB per atom
data_Gd3Al3SiNi2
_cell_length_a 7.9224
_cell_length_b 7.9224
_cell_length_c 3.1549
_cell_angle_alpha 90.00
_cell_angle_beta 90.00
_cell_angle_gamma 120.00
_space_group_name_H-M_alt 'P -6 2 m'
_space_group_IT_number 189
_space_group_name_Hall 'P -6 -2'
loop_
_atom_site_label
_atom_site_type_symbol
_atom_site_fract_x
_atom_site_fract_y
_atom_site_fract_z
Gd1 Gd 0.0000 0.3045 0.0000
Al1 Al 0.0000 0.6319 0.5000
Si1 Si 0.0000 0.0000 0.5000
Ni1 Ni 0.3333 0.6667 0.0000

***

[6]
# SmGdAlNi2 PBE-GGA relaxed
# E_tot: -5.352 eV per atom
# crystal system: orthorhombic
# density: 7796 kg/m3
# magnetization: 0.00 μB per atom
data_SmGdAlNi2
_cell_length_a 4.219
_cell_length_b 5.434
_cell_length_c 8.398
_cell_angle_alpha 90.00
_cell_angle_beta 90.00
_cell_angle_gamma 90.00
_space_group_name_H-M_alt 'I m m 2'
_space_group_IT_number 44
loop_
_space_group_symop_operation_xyz
'x,y,z'
'-x,-y,z'
'-x,y,z'
'x,-y,z'
'x+1/2,y+1/2,z+1/2'
'-x+1/2,-y+1/2,z+1/2'
'-x+1/2,y+1/2,z+1/2'
'x+1/2,-y+1/2,z+1/2'
loop_
_atom_site_label
_atom_site_type_symbol
_atom_site_fract_x
_atom_site_fract_y
_atom_site_fract_z
Sm1 Sm 0.000 0.000 0.000
Gd1 Gd 0.000 0.000 0.409
Al1 Al 0.000 0.500 0.204
Ni1 Ni 0.000 0.267 0.704

***

[7]
# Tb2GdAl3Ni3 PBE-GGA relaxed
# E_tot: -5.244 eV per atom
# crystal system: orthorhombic
# density: 7451 kg/m3
# magnetization: 0.00 μB per atom
data_Tb2GdAl3Ni3
_cell_length_a 3.838
_cell_length_b 12.128
_cell_length_c 7.011
_cell_angle_alpha 90.00
_cell_angle_beta 90.00
_cell_angle_gamma 90.00
_space_group_name_H-M_alt 'A m m 2'
_space_group_IT_number 38
loop_
_space_group_symop_operation_xyz
'x,y,z'
'-x,-y,z'
'-x,y,z'
'x,-y,z'
'x,y+1/2,z+1/2'
'-x,-y+1/2,z+1/2'
'-x,y+1/2,z+1/2'
'x,-y+1/2,z+1/2'
loop_
_atom_site_label
_atom_site_type_symbol
_atom_site_fract_x
_atom_site_fract_y
_atom_site_fract_z
Tb1 Tb 0.000 0.209 0.000
Gd1 Gd 0.000 0.000 0.627
Al1 Al 0.500 0.000 0.975
Al2 Al 0.500 0.118 0.326
Ni1 Ni 0.000 0.000 0.208
Ni2 Ni 0.500 0.167 0.709

***

[8]
# TbGdAl2Ni4 PBE-GGA relaxed
# E_tot: -5.459 eV per atom
# crystal system: hexagonal
# density: 7513 kg/m3
# magnetization: 0.00 μB per atom
data_TbGdAl2Ni4
_cell_length_a 4.1534
_cell_length_b 4.1534
_cell_length_c 8.9498
_cell_angle_alpha 90.00
_cell_angle_beta 90.00
_cell_angle_gamma 120.00
_space_group_name_H-M_alt 'P -6 m 2'
_space_group_IT_number 187
_space_group_name_Hall 'P -6 2'
loop_
_atom_site_label
_atom_site_type_symbol
_atom_site_fract_x
_atom_site_fract_y
_atom_site_fract_z
Tb1 Tb 0.0000 0.0000 0.0000
Gd1 Gd 0.6667 0.3333 0.5000
Al1 Al 0.3333 0.6667 0.2487
Ni1 Ni 0.0000 0.0000 0.3095
Ni2 Ni 0.6667 0.3333 0.1879

***

[9]
# TbGdAl4Ni2 PBE-GGA relaxed
# E_tot: -5.058 eV per atom
# crystal system: orthorhombic
# density: 6263 kg/m3
# magnetization: 0.00 μB per atom
data_TbGdAl4Ni2
_cell_length_a 6.863
_cell_length_b 4.058
_cell_length_c 10.311
_cell_angle_alpha 90.00
_cell_angle_beta 90.00
_cell_angle_gamma 90.00
_space_group_name_H-M_alt 'A m m 2'
_space_group_IT_number 38
loop_
_space_group_symop_operation_xyz
'x,y,z'
'-x,-y,z'
'-x,y,z'
'x,-y,z'
'x,y+1/2,z+1/2'
'-x,-y+1/2,z+1/2'
'-x,y+1/2,z+1/2'
'x,-y+1/2,z+1/2'
loop_
_atom_site_label
_atom_site_type_symbol
_atom_site_fract_x
_atom_site_fract_y
_atom_site_fract_z
Tb1 Tb 0.000 0.000 0.000
Gd1 Gd 0.500 0.000 0.879
Al1 Al 0.194 0.000 0.281
Al2 Al 0.304 0.000 0.597
Ni1 Ni 0.000 0.000 0.723
Ni2 Ni 0.500 0.000 0.156

***

[10]
# Gd2TmAl3Ni3 PBE-GGA relaxed
# E_tot: -5.237 eV per atom
# crystal system: orthorhombic
# density: 7520 kg/m3
# magnetization: 0.00 μB per atom
data_Gd2TmAl3Ni3
_cell_length_a 3.962
_cell_length_b 11.972
_cell_length_c 6.893
_cell_angle_alpha 90.00
_cell_angle_beta 90.00
_cell_angle_gamma 90.00
_space_group_name_H-M_alt 'A m m 2'
_space_group_IT_number 38
loop_
_space_group_symop_operation_xyz
'x,y,z'
'-x,-y,z'
'-x,y,z'
'x,-y,z'
'x,y+1/2,z+1/2'
'-x,-y+1/2,z+1/2'
'-x,y+1/2,z+1/2'
'x,-y+1/2,z+1/2'
loop_
_atom_site_label
_atom_site_type_symbol
_atom_site_fract_x
_atom_site_fract_y
_atom_site_fract_z
Gd1 Gd 0.000 0.208 0.000
Tm1 Tm 0.000 0.000 0.376
Al1 Al 0.500 0.000 0.026
Al2 Al 0.500 0.117 0.672
Ni1 Ni 0.000 0.000 0.786
Ni2 Ni 0.500 0.163 0.292

***

[11]
# GdTmAlNi2 PBE-GGA relaxed
# E_tot: -5.356 eV per atom
# crystal system: orthorhombic
# density: 8381 kg/m3
# magnetization: 0.00 μB per atom
data_GdTmAlNi2
_cell_length_a 4.176
_cell_length_b 5.392
_cell_length_c 8.282
_cell_angle_alpha 90.00
_cell_angle_beta 90.00
_cell_angle_gamma 90.00
_space_group_name_H-M_alt 'I m m 2'
_space_group_IT_number 44
loop_
_space_group_symop_operation_xyz
'x,y,z'
'-x,-y,z'
'-x,y,z'
'x,-y,z'
'x+1/2,y+1/2,z+1/2'
'-x+1/2,-y+1/2,z+1/2'
'-x+1/2,y+1/2,z+1/2'
'x+1/2,-y+1/2,z+1/2'
loop_
_atom_site_label
_atom_site_type_symbol
_atom_site_fract_x
_atom_site_fract_y
_atom_site_fract_z
Gd1 Gd 0.000 0.000 0.000
Tm1 Tm 0.000 0.000 0.595
Al1 Al 0.000 0.500 0.798
Ni1 Ni 0.000 0.267 0.297

***

[12]
# GdYAl4Ni2 PBE-GGA relaxed
# E_tot: -5.295 eV per atom
# crystal system: orthorhombic
# density: 5470 kg/m3
# magnetization: 0.00 μB per atom
data_GdYAl4Ni2
_cell_length_a 6.870
_cell_length_b 4.057
_cell_length_c 10.271
_cell_angle_alpha 90.00
_cell_angle_beta 90.00
_cell_angle_gamma 90.00
_space_group_name_H-M_alt 'A m m 2'
_space_group_IT_number 38
loop_
_space_group_symop_operation_xyz
'x,y,z'
'-x,-y,z'
'-x,y,z'
'x,-y,z'
'x,y+1/2,z+1/2'
'-x,-y+1/2,z+1/2'
'-x,y+1/2,z+1/2'
'x,-y+1/2,z+1/2'
loop_
_atom_site_label
_atom_site_type_symbol
_atom_site_fract_x
_atom_site_fract_y
_atom_site_fract_z
Gd1 Gd 0.000 0.000 0.000
Y1 Y 0.500 0.000 0.122
Al1 Al 0.196 0.000 0.719
Al2 Al 0.306 0.000 0.403
Ni1 Ni 0.000 0.000 0.277
Ni2 Ni 0.500 0.000 0.845